{
  "formula": "K2NbVP2O10",
  "functional": "GGA+U",
  "state": "relaxed",
  "total_energy_ev_per_cell": -472.70,
  "dos_at_fermi_per_ev_cell": 0.0,
  "volume_a3_per_atom": 14.77,
  "space_group": "Pna2_1, No. 33",
  "lattice": [[-0.776, -4.744, -4.465], [8.064, 4.346, -6.020], [8.765, -7.434, 6.375]],
  "species": ["K", "K", "K", "K", "K", "K", "K", "K", "Nb", "Nb", "Nb", "Nb", "V", "V", "V", "V", "P", "P", "P", "P", "P", "P", "P", "P", "O", "O", "O", "O", "O", "O", "O", "O", "O", "O", "O", "O", "O", "O", "O", "O", "O", "O", "O", "O", "O", "O", "O", "O", "O", "O", "O", "O", "O", "O", "O", "O", "O", "O", "O", "O", "O", "O", "O", "O"],
  "frac_coords": [[0.722, 0.300, 0.874], [0.278, 0.800, 0.126], [0.222, 0.800, 0.626], [0.778, 0.300, 0.374], [0.799, 0.058, 0.606], [0.201, 0.558, 0.394], [0.299, 0.558, 0.894], [0.701, 0.058, 0.106], [0.007, 0.003, 0.869], [0.993, 0.503, 0.131], [0.507, 0.503, 0.631], [0.493, 0.003, 0.369], [0.248, 0.253, 0.747], [0.752, 0.753, 0.253], [0.748, 0.753, 0.753], [0.252, 0.253, 0.247], [0.003, 0.506, 0.683], [0.997, 0.006, 0.317], [0.503, 0.006, 0.817], [0.497, 0.506, 0.183], [0.163, 0.255, 0.999], [0.837, 0.755, 0.001], [0.663, 0.755, 0.501], [0.337, 0.255, 0.499], [0.460, 0.382, 0.726], [0.540, 0.882, 0.274], [0.960, 0.882, 0.774], [0.040, 0.382, 0.226], [0.027, 0.372, 0.011], [0.973, 0.872, 0.989], [0.527, 0.872, 0.489], [0.473, 0.372, 0.511], [0.299, 0.235, 0.094], [0.701, 0.735, 0.906], [0.799, 0.735, 0.406], [0.201, 0.235, 0.594], [0.039, 0.394, 0.753], [0.961, 0.894, 0.247], [0.539, 0.894, 0.747], [0.461, 0.394, 0.253], [0.534, 0.628, 0.726], [0.466, 0.128, 0.274], [0.034, 0.128, 0.774], [0.966, 0.628, 0.226], [0.971, 0.620, 0.750], [0.029, 0.120, 0.250], [0.471, 0.120, 0.750], [0.529, 0.620, 0.250], [0.815, 0.481, 0.613], [0.185, 0.981, 0.387], [0.315, 0.981, 0.887], [0.685, 0.481, 0.113], [0.298, 0.273, 0.904], [0.702, 0.773, 0.096], [0.798, 0.773, 0.596], [0.202, 0.273, 0.404], [0.189, 0.530, 0.611], [0.811, 0.030, 0.389], [0.689, 0.030, 0.889], [0.311, 0.530, 0.111], [0.014, 0.145, 0.986], [0.986, 0.645, 0.014], [0.514, 0.645, 0.514], [0.486, 0.145, 0.486]]
}